12
Lattice="9.674 -2.207 0.000 9.674 2.207 0.000 -2.044 0.000 8.698" Properties=species:S:1:pos:R:3 comment="Tb2Pm3NdTe6, optimized geometry, DFT PBE" e_tot_ev_per_atom=-5.306 magmom_total_mub_per_fu=0.00 spacegroup="C2/m, No. 12" pbc="T T T"
Tb 2.522 0.000 2.875
Tb 14.783 0.000 5.823
Pm 1.446 0.000 7.244
Pm 8.652 0.000 4.349
Pm 15.859 0.000 1.454
Nd 9.674 0.000 0.000
Te -0.457 0.000 2.204
Te 5.540 0.000 3.662
Te 4.540 0.000 7.918
Te 12.765 0.000 0.780
Te 11.764 0.000 5.036
Te 17.762 0.000 6.494